This record from Alexandria via LeMat-Bulk describes a relaxed HfTiIr2 crystal. The functional is GGA-PBE.

Magnetization, μB per atom: 0.000
Total energy, Ha/atom: -0.3585
DFT formation energy, eV/atom: -0.862
Density of states at the Fermi level, states/eV per cell: 3.3

CIF file:
```
data_HfTiIr2
_cell_length_a 4.271
_cell_length_b 4.271
_cell_length_c 3.577
_cell_angle_alpha 90.00
_cell_angle_beta 90.00
_cell_angle_gamma 90.00
_symmetry_space_group_name_H-M 'P 4/m m m'
_symmetry_Int_Tables_number 123
_symmetry_space_group_name_Hall '-P 4 2'
loop_
_atom_site_label
_atom_site_type_symbol
_atom_site_fract_x
_atom_site_fract_y
_atom_site_fract_z
_atom_site_occupancy
Hf1 Hf 0.000 0.000 0.000 1
Ti1 Ti 0.500 0.500 0.000 1
Ir1 Ir 0.000 0.500 0.500 1
```